No. 1
KTbAgSe3 | PBE-GGA | relaxed

```
KTbAgSe3
1.0
-5.125 -9.134 -2.714
2.609 -0.519 -3.179
9.345 -7.906 8.960
Ag K Se Tb
4 4 12 4
Direct
0.763 0.250 0.218
0.263 0.250 0.282
0.737 0.750 0.718
0.237 0.750 0.782
0.762 0.750 0.003
0.262 0.750 0.497
0.738 0.250 0.503
0.238 0.250 0.997
0.564 0.250 0.121
0.962 0.250 0.122
0.264 0.750 0.173
0.764 0.750 0.327
0.462 0.250 0.378
0.064 0.250 0.379
0.936 0.750 0.621
0.538 0.750 0.622
0.236 0.250 0.673
0.736 0.250 0.827
0.038 0.750 0.878
0.436 0.750 0.879
0.514 0.750 0.249
0.014 0.750 0.251
0.986 0.250 0.749
0.486 0.250 0.751
```

Magnetic moment in μB/cell: 0.35
Raw total energy in eV per atom: -4.2885



No. 2
KTbAg3Se4 | PBE-GGA | relaxed

```
KTbAg3Se4
1.0
6.618 0.000 0.000
0.000 6.618 0.000
0.000 0.000 6.618
Ag K Se Tb
3 1 4 1
Direct
0.500 0.500 0.000
0.500 0.000 0.500
0.000 0.500 0.500
0.000 0.000 0.000
0.267 0.267 0.267
0.733 0.733 0.267
0.733 0.267 0.733
0.267 0.733 0.733
0.500 0.500 0.500
```

Magnetic moment in μB/cell: 0.24
Energy relative to the lowest polymorph listed for this composition in eV per atom: 0.024



No. 3
KTbAgSe3 | PBE-GGA | relaxed

```
KTbAgSe3
1.0
2.069 -7.544 0.000
2.069 7.544 0.000
0.000 0.000 10.817
Ag K Se Tb
2 2 6 2
Direct
0.965 0.035 0.250
0.035 0.965 0.750
0.252 0.748 0.250
0.748 0.252 0.750
0.870 0.130 0.050
0.576 0.424 0.250
0.870 0.130 0.450
0.130 0.870 0.550
0.424 0.576 0.750
0.130 0.870 0.950
0.500 0.500 0.000
0.500 0.500 0.500
```

Magnetic moment in μB/cell: 0.12
Raw total energy in eV per atom: -4.2886



No. 4
KTbAg3Se4 | PBE-GGA | relaxed

```
KTbAg3Se4
1.0
6.394 0.000 0.000
0.000 7.690 0.000
-2.702 0.000 10.330
Ag K Se Tb
6 2 8 2
Direct
0.796 0.557 0.030
0.796 0.943 0.030
0.934 0.750 0.282
0.066 0.250 0.718
0.204 0.057 0.970
0.204 0.443 0.970
0.736 0.250 0.392
0.264 0.750 0.608
0.558 0.250 0.057
0.133 0.026 0.223
0.133 0.474 0.223
0.691 0.750 0.434
0.309 0.250 0.566
0.867 0.526 0.777
0.867 0.974 0.777
0.442 0.750 0.943
0.393 0.750 0.199
0.607 0.250 0.801
```

Magnetic moment in μB/cell: 0.04
Energy relative to the lowest polymorph listed for this composition in eV per atom: 0.000



No. 5
KTcAgTe2Se | PBE-GGA | relaxed

```
KTcAgTe2Se
1.0
3.623 7.217 -0.709
-6.555 -4.749 -0.452
-2.211 2.096 10.039
Ag K Se Tc Te
2 2 2 2 4
Direct
0.045 0.955 0.250
0.955 0.045 0.750
0.745 0.255 0.250
0.255 0.745 0.750
0.436 0.564 0.250
0.564 0.436 0.750
0.500 0.500 0.000
0.500 0.500 0.500
0.123 0.877 0.020
0.123 0.877 0.480
0.877 0.123 0.520
0.877 0.123 0.980
```

Magnetic moment in μB/cell: 5.24
Energy relative to the lowest polymorph listed for this composition in eV per atom: 0.107



No. 6
KTcAgTe2Se | PBE-GGA | relaxed

```
KTcAgTe2Se
1.0
8.666 0.000 0.000
0.000 3.961 0.000
-3.629 0.000 9.728
Ag K Se Tc Te
2 2 2 2 4
Direct
0.060 0.250 0.107
0.940 0.750 0.893
0.744 0.750 0.226
0.256 0.250 0.774
0.538 0.250 0.376
0.462 0.750 0.624
0.334 0.750 0.360
0.666 0.250 0.640
0.283 0.750 0.080
0.121 0.250 0.385
0.879 0.750 0.615
0.717 0.250 0.920
```

Magnetic moment in μB/cell: 5.00
Energy relative to the lowest polymorph listed for this composition in eV per atom: 0.000



No. 7
KAgTe2WSe | PBE-GGA | relaxed

```
KAgTe2WSe
1.0
2.065 -7.815 0.000
2.065 7.815 0.000
0.000 0.000 10.446
Ag K Se Te W
2 2 2 4 2
Direct
0.458 0.542 0.250
0.542 0.458 0.750
0.756 0.244 0.250
0.244 0.756 0.750
0.063 0.937 0.250
0.937 0.063 0.750
0.377 0.623 0.022
0.377 0.623 0.478
0.623 0.377 0.522
0.623 0.377 0.978
0.000 0.000 0.000
0.000 0.000 0.500
```

Magnetic moment in μB/cell: 4.00
Raw total energy in eV per atom: -4.5541



No. 8
KZrAgTeSe2 | PBE-GGA | relaxed

```
KZrAgTeSe2
1.0
8.521 0.000 0.000
0.000 4.079 0.000
-3.608 0.000 9.637
Ag K Se Te Zr
2 2 4 2 2
Direct
0.921 0.750 0.395
0.079 0.250 0.605
0.270 0.250 0.299
0.730 0.750 0.701
0.455 0.750 0.129
0.732 0.250 0.435
0.268 0.750 0.565
0.545 0.250 0.871
0.913 0.750 0.125
0.087 0.250 0.875
0.681 0.250 0.164
0.319 0.750 0.836
```

Magnetic moment in μB/cell: 0.00
Energy relative to the lowest polymorph listed for this composition in eV per atom: 0.023



No. 9
KZrAgTeSe2 | PBE-GGA | relaxed

```
KZrAgTeSe2
1.0
2.004 -7.841 0.000
2.004 7.841 0.000
0.000 0.000 10.899
Ag K Se Te Zr
2 2 4 2 2
Direct
0.538 0.462 0.250
0.462 0.538 0.750
0.229 0.771 0.250
0.771 0.229 0.750
0.617 0.383 0.042
0.617 0.383 0.458
0.383 0.617 0.542
0.383 0.617 0.958
0.916 0.084 0.250
0.084 0.916 0.750
0.000 0.000 0.000
0.000 0.000 0.500
```

Magnetic moment in μB/cell: 0.01
Energy relative to the lowest polymorph listed for this composition in eV per atom: 0.067



No. 10
KZrAgTeSe2 | PBE-GGA | relaxed

```
KZrAgTeSe2
1.0
8.539 0.000 0.000
0.000 4.050 0.000
-3.520 0.000 9.711
Ag K Se Te Zr
2 2 4 2 2
Direct
0.923 0.750 0.396
0.077 0.250 0.604
0.231 0.250 0.251
0.769 0.750 0.749
0.453 0.750 0.127
0.891 0.750 0.133
0.109 0.250 0.867
0.547 0.250 0.873
0.717 0.250 0.445
0.283 0.750 0.555
0.685 0.250 0.157
0.315 0.750 0.843
```

Magnetic moment in μB/cell: 0.01
Energy relative to the lowest polymorph listed for this composition in eV per atom: 0.000



No. 11
KAgWSe3 | PBE-GGA | relaxed

```
KAgWSe3
1.0
-9.145 3.432 -3.115
-0.266 -5.714 -5.513
-1.376 2.922 7.258
Ag K Se W
2 2 6 2
Direct
0.250 0.554 0.446
0.750 0.446 0.554
0.750 0.753 0.247
0.250 0.247 0.753
0.250 0.932 0.068
0.023 0.620 0.380
0.477 0.620 0.380
0.523 0.380 0.620
0.977 0.380 0.620
0.750 0.068 0.932
0.000 0.000 0.000
0.500 0.000 0.000
```

Magnetic moment in μB/cell: 2.89
Raw total energy in eV per atom: -4.8230



No. 12
KAg3WSe4 | PBE-GGA | relaxed

```
KAg3WSe4
1.0
-5.393 3.597 -0.291
-0.747 -1.625 -6.238
-3.531 -5.151 1.765
Ag K Se W
3 1 4 1
Direct
0.500 0.500 0.000
0.500 0.000 0.500
0.000 0.500 0.500
0.000 0.000 0.000
0.281 0.281 0.281
0.719 0.719 0.281
0.719 0.281 0.719
0.281 0.719 0.719
0.500 0.500 0.500
```

Magnetic moment in μB/cell: 1.94
Raw total energy in eV per atom: -4.2855